# 1
Material: NdTe3
Method: DFT, PBEsol
State: optimized geometry

SG: Cmcm (63)
E_tot, eV per atom: -4.949
Uncorrected formation energy, eV per atom: -1.0124
Fermi-level density of states, states/eV/cell: 2.55

```
NdTe3
1.0
2.162 -13.017 0.000
2.162 13.017 0.000
0.000 0.000 4.324
Nd Te
2 6
Cartesian
2.162 8.621 3.243
2.162 -8.621 1.081
2.162 11.149 1.081
2.162 5.358 3.243
2.162 1.871 1.081
2.162 -1.871 3.243
2.162 -5.358 1.081
2.162 -11.149 3.243
```

# 2
Material: NdTlTe2
Method: DFT, PBEsol
State: optimized geometry

SG: R-3m (166)
E_tot, eV per atom: -4.734
Uncorrected formation energy, eV per atom: -1.0216

```
NdTlTe2
1.0
2.232 1.289 7.996
-2.232 1.289 7.996
0.000 -2.578 7.996
Nd Tl Te
1 1 2
Cartesian
0.000 0.000 0.000
0.000 0.000 11.994
0.000 0.000 6.185
0.000 0.000 17.802
```

# 3
Material: Nd2Tl
Method: DFT, PBEsol
State: optimized geometry

SG: P6_3/mmc (194)
E_tot, eV per atom: -4.639
Formation energy from the elements, eV per formula unit: -1.0
Fermi-level density of states, states/eV/cell: 8.83

```
Nd2Tl
1.0
5.477 0.000 0.000
-2.738 4.743 0.000
0.000 0.000 6.794
Nd Tl
4 2
Cartesian
0.000 0.000 0.000
0.000 0.000 3.397
0.000 3.162 1.698
2.738 1.581 5.095
0.000 3.162 5.095
2.738 1.581 1.698
```

# 4
Material: NdTlZn
Method: DFT, PBEsol
State: optimized geometry

SG: P6_3/mmc (194)
E_tot, eV per atom: -3.512
Formation energy from the elements, eV per formula unit: -1.2
Fermi-level density of states, states/eV/cell: 4.44

```
NdTlZn
1.0
4.677 0.000 0.000
-2.339 4.050 0.000
0.000 0.000 7.504
Nd Tl Zn
2 2 2
Cartesian
0.000 0.000 0.000
0.000 0.000 3.752
0.000 2.700 1.876
2.339 1.350 5.628
0.000 2.700 5.628
2.339 1.350 1.876
```

# 5
Material: NdTm
Method: DFT, PBEsol
State: optimized geometry

SG: P-6m2 (187)
E_tot, eV per atom: -4.994
Formation energy from the elements, eV per formula unit: 0.1
Fermi-level density of states, states/eV/cell: 3.24

```
NdTm
1.0
3.556 0.000 0.000
-1.778 3.080 0.000
0.000 0.000 5.636
Nd Tm
1 1
Cartesian
0.000 0.000 0.000
0.000 2.053 2.818
```

# 6
Material: Nd3Tm
Method: DFT, PBEsol
State: optimized geometry

SG: P6_3/mmc (194)
E_tot, eV per atom: -5.074
Formation energy from the elements, eV per formula unit: 0.1
Fermi-level density of states, states/eV/cell: 12.52

```
Nd3Tm
1.0
7.177 0.000 0.000
-3.588 6.215 0.000
0.000 0.000 5.745
Nd Tm
6 2
Cartesian
0.000 2.082 1.436
-1.785 5.174 1.436
1.803 1.041 4.309
1.785 5.174 1.436
5.374 1.041 4.309
3.588 4.133 4.309
0.000 4.144 4.309
3.588 2.072 1.436
```